(P)
This record from Alexandria via LeMat-Bulk describes crystalline PrHoIn at its relaxed geometry. The functional is PBE-GGA.

Total magnetic moment: 0.000 μB per atom

Lattice parameters (Å, degrees): 3.6165 3.6165 13.9120 90.00 90.00 90.00
Last column: nearest neighbours and their distance in Å.
Space group I4mm (No. 107)
Unique sites:
Pr 0.0000 0.0000 0.0000 x2  4 In 3.42, 4 Pr 3.62, 4 Ho 3.70
Ho 0.0000 0.0000 0.6920 x2  4 In 3.26, 4 Ho 3.62
In 0.0000 0.0000 0.3371 x2  4 Ho 3.26, 4 Pr 3.42, 4 In 3.62

(Q)
This record from Alexandria via LeMat-Bulk describes crystalline PrHoIn at its relaxed geometry. The functional is PBE-GGA.

Total magnetic moment: 0.000 μB per atom

Lattice parameters (Å, degrees): 5.2991 5.2991 3.7498 90.00 90.00 120.00
Last column: nearest neighbours and their distance in Å.
Space group P3m1 (No. 156)
Unique sites:
Pr 0.0000 0.0000 0.0000 x1  3 In 3.38, 6 Ho 3.50-3.69, 2 Pr 3.75
Ho 0.6667 0.3333 0.4518 x1  3 In 3.12
In 0.3333 0.6667 0.6141 x1  3 Ho 3.12, 3 Pr 3.38

What is the least stable structure shown above? It is (Q).